# ScHO2

A crystal of ScHO2 relaxed with PBEsol (SCAN, Alexandria via LeMat-Bulk).

Cell: 3.236 12.705 4.010 Å, 90.00 90.00 90.00°
Space group Cmc2_1 (No. 36)
Asymmetric unit:
Sc (0.000, 0.175, 0.000) x4
H (0.000, 0.487, 0.696) x4
O (0.000, 0.215, 0.501) x4
O (0.000, 0.434, 0.505) x4

Results
Magnetic moment ... 0.00 μB per cell
Crystal system ... orthorhombic


# SmH5Se2O8

A crystal of SmH5Se2O8 relaxed with PBEsol (SCAN, Alexandria via LeMat-Bulk).

Cell: 6.764 7.064 15.971 Å, 90.00 90.00 90.00°
Space group P2_12_12_1 (No. 19)
Asymmetric unit:
Sm (0.124, 0.159, 0.221) x4
H (0.017, 0.229, 0.895) x4
H (0.018, 0.466, 0.094) x4
H (0.033, 0.899, 0.948) x4
H (0.040, 0.275, 0.035) x4
H (0.172, 0.651, 0.561) x4
Se (0.093, 0.360, 0.427) x4
Se (0.162, 0.328, 0.727) x4
O (0.006, 0.774, 0.976) x4
O (0.023, 0.658, 0.554) x4
O (0.030, 0.840, 0.704) x4
O (0.094, 0.343, 0.086) x4
O (0.102, 0.152, 0.373) x4
O (0.115, 0.963, 0.109) x4
O (0.189, 0.483, 0.258) x4
O (0.189, 0.839, 0.273) x4

Results
Magnetic moment ... 0.00 μB per cell
Crystal system ... orthorhombic


# ZnH12SeO10

A crystal of ZnH12SeO10 relaxed with PBEsol (SCAN, Alexandria via LeMat-Bulk).

Cell: 6.866 6.866 18.381 Å, 90.00 90.00 90.00°
Space group P4_12_12 (No. 92)
Asymmetric unit:
Zn (0.221, 0.221, 0.000) x4
H (0.008, 0.485, 0.068) x8
H (0.008, 0.715, 0.617) x8
H (0.039, 0.112, 0.688) x8
H (0.069, 0.732, 0.404) x8
H (0.080, 0.342, 0.706) x8
H (0.094, 0.861, 0.040) x8
Se (0.217, 0.783, 0.750) x4
O (0.020, 0.755, 0.192) x8
O (0.036, 0.809, 0.448) x8
O (0.044, 0.323, 0.507) x8
O (0.082, 0.373, 0.089) x8
O (0.109, 0.873, 0.676) x8

Results
Magnetic moment ... 0.00 μB per cell
Crystal system ... tetragonal


no.,electronic total energy (eV/atom)
1,-10.3738
2,-10.9481
3,-6.7864